The following is a PBE-GGA calculation of LiReHg after structural relaxation, from Alexandria.

Values from the calculation:
Space-group type: F-43m, No. 216
ΔE_f (kJ/mol of atoms): 129

Cell: 4.480 4.480 4.480 Å, 60.00 60.00 60.00°
Sites, in units of the cell vectors:
Hg (0.000, 0.000, 0.000)
Li (0.500, 0.500, 0.500)
Re (0.750, 0.750, 0.750)

=====

The following is a PBE-GGA calculation of Cs2TmAsS4 after structural relaxation, from Alexandria.

Values from the calculation:
Space-group type: Fddd, No. 70
Energy relative to the elements, uncorrected (kJ per mole of atoms): -102.8

Cell: 6.629 8.071 13.158 Å, 84.06 75.41 65.75°
Sites, in units of the cell vectors:
Cs (0.180, 0.000, 0.640)
Cs (0.820, 0.000, 0.360)
Cs (0.570, 0.500, 0.860)
Cs (0.930, 0.500, 0.140)
Tm (0.750, 0.500, 0.500)
Tm (0.000, 0.000, 0.000)
As (0.250, 0.500, 0.500)
As (0.500, 0.000, 0.000)
S (0.300, 0.811, 0.100)
S (0.211, 0.189, 0.900)
S (0.889, 0.811, 0.900)
S (0.599, 0.189, 0.100)
S (0.450, 0.689, 0.400)
S (0.539, 0.311, 0.600)
S (0.861, 0.689, 0.600)
S (0.151, 0.311, 0.400)

=====

The following is a PBE-GGA calculation of Tl2TcW after structural relaxation, from Alexandria.

Values from the calculation:
Space-group type: Cmmm, No. 65
ΔE_f (kJ/mol of atoms): 99

Cell: 3.025 3.025 9.655 Å, 90.00 90.00 118.44°
Sites, in units of the cell vectors:
Tc (0.500, 0.500, 0.750)
Tl (0.000, 0.000, 0.994)
Tl (0.000, 0.000, 0.506)
W (0.500, 0.500, 0.250)